[1]
A geometry-optimized La2NdCoAg structure, computed with PBE.

POSCAR file:
```
La2NdCoAg
1.0
-1.9070 1.9817 -4.4366
-4.8575 -0.8927 1.6891
-0.1242 5.0104 2.2913
La Nd Co Ag
2 1 1 1
Direct
0.0000 0.5000 0.9987
0.5000 0.0000 0.9989
0.0000 0.0000 0.4993
0.0000 0.0000 0.9995
0.5000 0.5000 0.5037
```

Properties
Calculated volume, Å³ per cell: 150
Total DFT energy (no corrections), eV/atom: -4.958
Energy of formation from the pure elements, eV/atom: -0.04
Space group: P4mm

---

[2]
A geometry-optimized La5NdCoAg2 structure, computed with PBE.

POSCAR file:
```
La5NdCoAg2
1.0
-0.8436 3.8306 -0.6600
-5.5829 -4.3402 -6.0682
-11.2089 -0.6158 10.7530
La Nd Co Ag
10 2 2 4
Direct
0.4535 0.9070 0.0352
0.7929 0.5857 0.9159
0.3981 0.7963 0.7386
0.2051 0.4102 0.6583
0.8587 0.7174 0.5350
0.5465 0.0930 0.5352
0.2071 0.4143 0.4159
0.6019 0.2037 0.2386
0.7949 0.5898 0.1583
0.1413 0.2826 0.0350
0.5993 0.1987 0.8333
0.4007 0.8013 0.3333
0.7004 0.4007 0.5366
0.2996 0.5993 0.0366
0.9761 0.9522 0.8777
0.0245 0.0490 0.6935
0.0239 0.0478 0.3777
0.9755 0.9510 0.1935
```

Properties
Calculated volume, Å³ per cell: 563
Total DFT energy (no corrections), eV/atom: -4.799
Energy of formation from the pure elements, eV/atom: -0.11
Space group: Cmc2_1

---

Repeat the second record exactly.
A geometry-optimized La5NdCoAg2 structure, computed with PBE.

POSCAR file:
```
La5NdCoAg2
1.0
-0.8436 3.8306 -0.6600
-5.5829 -4.3402 -6.0682
-11.2089 -0.6158 10.7530
La Nd Co Ag
10 2 2 4
Direct
0.4535 0.9070 0.0352
0.7929 0.5857 0.9159
0.3981 0.7963 0.7386
0.2051 0.4102 0.6583
0.8587 0.7174 0.5350
0.5465 0.0930 0.5352
0.2071 0.4143 0.4159
0.6019 0.2037 0.2386
0.7949 0.5898 0.1583
0.1413 0.2826 0.0350
0.5993 0.1987 0.8333
0.4007 0.8013 0.3333
0.7004 0.4007 0.5366
0.2996 0.5993 0.0366
0.9761 0.9522 0.8777
0.0245 0.0490 0.6935
0.0239 0.0478 0.3777
0.9755 0.9510 0.1935
```

Properties
Calculated volume, Å³ per cell: 563
Total DFT energy (no corrections), eV/atom: -4.799
Energy of formation from the pure elements, eV/atom: -0.11
Space group: Cmc2_1

---

Q: Which of these has the lowest total DFT energy (no corrections)?
A: La2NdCoAg

---

Q: Look up the energy of formation from the pure elements of the second one.
A: -0.11 eV/atom